[1]
Here is a relaxed Mg4Al2Sn crystal from Alexandria via LeMat-Bulk. Energies are from PBE.

```
Mg4Al2Sn
1.0
-4.444 -3.282 0.522
2.419 -3.791 -3.251
1.737 -6.402 4.024
Mg Al Sn
4 2 1
Cartesian
0.608 -5.225 1.811 Mg
1.209 -1.896 -1.625 Mg
-0.895 -8.251 -0.516 Mg
-2.222 -1.641 0.261 Mg
0.202 -9.394 1.634 Al
-0.489 -4.082 -0.339 Al
0.000 0.000 0.000 Sn
```

Summary:
N(E_F) ... 3.941 states/eV/cell
E_tot ... -14.92 eV per cell


[2]
Here is a relaxed Mg3AlSn crystal from Alexandria via LeMat-Bulk. Energies are from PBE.

```
Mg3AlSn
1.0
-3.929 2.108 2.960
-3.133 0.246 -4.333
-1.843 -4.914 1.053
Al Mg Sn
1 3 1
Cartesian
-4.452 -1.280 -0.160 Al
-1.566 0.123 -2.167 Mg
-0.921 -2.457 0.527 Mg
-1.965 1.054 1.480 Mg
0.000 0.000 0.000 Sn
```

Summary:
N(E_F) ... 2.742 states/eV/cell
E_tot ... -10.07 eV per cell


[3]
Here is a relaxed MgAl2Sn2 crystal from Alexandria via LeMat-Bulk. Energies are from PBE.

```
MgAl2Sn2
1.0
-1.561 6.936 3.470
-1.301 -3.724 6.858
3.515 0.360 0.862
Al Sn Mg
4 4 2
Cartesian
-1.728 -0.652 7.318 Al
-1.134 3.865 3.011 Al
-0.683 -0.545 3.011 Al
-2.179 3.758 7.318 Al
1.022 1.797 2.754 Sn
0.043 4.697 5.538 Sn
-0.369 1.775 8.436 Sn
0.610 -1.125 5.653 Sn
-1.431 1.606 5.164 Mg
0.000 0.000 0.000 Mg
```

Summary:
N(E_F) ... 5.356 states/eV/cell
E_tot ... -33.08 eV per cell